# 1
Below is a relaxed Pm2ScIn crystal, with properties calculated at the PBE level.

```
Pm2ScIn
1.0
0.000 3.853 3.853
3.853 0.000 3.853
3.853 3.853 0.000
Pm Sc In
2 1 1
direct
0.250 0.250 0.250
0.750 0.750 0.750
0.000 0.000 0.000
0.500 0.500 0.500
```

* DFT formation energy: -3.9 kcal/mol of atoms
* offset from the most stable computed form: 93 meV/atom

***

# 2
Below is a relaxed MgIn3S crystal, with properties calculated at the PBE level.

```
MgIn3S
1.0
5.394 0.000 0.000
0.000 5.394 0.000
0.000 0.000 5.394
Mg In S
1 3 1
direct
0.000 0.000 0.000
0.000 0.500 0.500
0.500 0.000 0.500
0.500 0.500 0.000
0.500 0.500 0.500
```

* offset from the most stable computed form: 0 meV/atom

***

# 3
Below is a relaxed HfSiOs crystal, with properties calculated at the PBE level.

```
HfSiOs
1.0
6.629 0.000 0.000
-3.314 5.741 0.000
0.000 0.000 3.730
Hf Si Os
3 3 3
direct
0.000 0.582 0.000
0.418 0.418 0.000
0.582 0.000 0.000
0.000 0.000 0.000
0.333 0.667 0.500
0.667 0.333 0.500
0.000 0.247 0.500
0.247 0.000 0.500
0.753 0.753 0.500
```

* total energy: -9.72 eV per atom

***

# 4
Below is a relaxed KYRu2 crystal, with properties calculated at the PBE level.

```
KYRu2
1.0
0.000 3.421 3.421
3.421 0.000 3.421
3.421 3.421 0.000
K Y Ru
1 1 2
direct
0.000 0.000 0.000
0.250 0.250 0.250
0.500 0.500 0.500
0.750 0.750 0.750
```

* DFT formation energy: 21.0 kcal/mol of atoms
* offset from the most stable computed form: 589 meV/atom

***

# 5
Below is a relaxed ZnNi2Ir crystal, with properties calculated at the PBE level.

```
ZnNi2Ir
1.0
-1.862 1.862 3.626
1.862 -1.862 3.626
1.862 1.862 -3.626
Zn Ni Ir
1 2 1
direct
0.000 0.000 0.000
0.500 0.500 0.000
0.750 0.250 0.500
0.250 0.750 0.500
```

* DFT formation energy: -1.4 kcal/mol of atoms

***

# 6
Below is a relaxed Ba6Na3Ru crystal, with properties calculated at the PBE level.

```
Ba6Na3Ru
1.0
7.756 0.000 0.000
0.000 11.061 0.000
-7.357 0.000 12.092
Ba Na Ru
12 6 2
direct
0.046 0.121 0.204
0.046 0.379 0.704
0.294 0.696 0.642
0.294 0.804 0.142
0.342 0.152 0.020
0.342 0.348 0.520
0.658 0.652 0.480
0.658 0.848 0.980
0.706 0.196 0.858
0.706 0.304 0.358
0.954 0.621 0.296
0.954 0.879 0.796
0.177 0.050 0.636
0.177 0.450 0.136
0.500 0.000 0.500
0.500 0.500 0.000
0.823 0.550 0.864
0.823 0.950 0.364
0.000 0.000 0.000
0.000 0.500 0.500
```

* DFT formation energy: 1.6 kcal/mol of atoms

***

# 7
Below is a relaxed SrPb2Br crystal, with properties calculated at the PBE level.

```
SrPb2Br
1.0
4.059 -2.344 0.000
4.059 2.344 0.000
-2.687 0.000 8.262
Sr Pb Br
1 2 1
direct
0.000 0.000 0.000
0.476 0.476 0.433
0.753 0.753 0.262
0.273 0.273 0.817
```

* offset from the most stable computed form: 14 meV/atom

***

# 8
Below is a relaxed Sm2ThN crystal, with properties calculated at the PBE level.

```
Sm2ThN
1.0
1.748 1.009 9.867
-1.748 1.009 9.867
0.000 -2.019 9.867
Sm Th N
2 1 1
direct
0.120 0.120 0.120
0.880 0.880 0.880
0.000 0.000 0.000
0.500 0.500 0.500
```

* total energy: -6.87 eV per atom

***

# 9
Below is a relaxed TaTiMo2 crystal, with properties calculated at the PBE level.

```
TaTiMo2
1.0
-3.570 3.570 2.745
3.570 -3.570 2.745
3.570 3.570 -2.745
Ta Ti Mo
2 2 4
direct
0.000 0.000 0.000
0.750 0.250 0.500
0.250 0.750 0.500
0.500 0.500 0.000
0.130 0.625 0.005
0.375 0.380 0.505
0.620 0.125 0.995
0.875 0.870 0.495
```

* DFT formation energy: 13.7 kcal/mol of atoms
* offset from the most stable computed form: 726 meV/atom

***

# 10
Below is a relaxed YSb2PbI crystal, with properties calculated at the PBE level.

```
YSb2PbI
1.0
5.872 0.000 0.000
0.000 5.872 0.000
0.000 0.000 5.833
Y Sb Pb I
1 2 1 1
direct
0.000 0.000 0.000
0.000 0.500 0.000
0.500 0.000 0.000
0.500 0.500 0.500
0.000 0.000 0.500
```

* offset from the most stable computed form: 0 meV/atom

***

# 11
Below is a relaxed SrB2SbBr crystal, with properties calculated at the PBE level.

```
SrB2SbBr
1.0
4.850 0.000 0.000
0.000 4.850 0.000
0.000 0.000 5.643
Sr B Sb Br
1 2 1 1
direct
0.000 0.000 0.000
0.000 0.500 0.500
0.500 0.000 0.500
0.500 0.500 0.000
0.000 0.000 0.500
```

* total energy: -2.84 eV per atom

***

# 12
Below is a relaxed Zn2CuP crystal, with properties calculated at the PBE level.

```
Zn2CuP
1.0
3.807 0.000 0.000
0.000 5.114 0.000
0.000 0.000 10.381
Zn Cu P
6 3 3
direct
0.000 0.000 0.134
0.000 0.000 0.866
0.500 0.255 0.263
0.500 0.255 0.737
0.500 0.745 0.263
0.500 0.745 0.737
0.000 0.500 0.500
0.500 0.248 0.000
0.500 0.752 0.000
0.000 0.500 0.000
0.500 0.219 0.500
0.500 0.781 0.500
```

* DFT formation energy: 3.2 kcal/mol of atoms

***

# 13
Below is a relaxed Ac2La2CoNi2 crystal, with properties calculated at the PBE level.

```
Ac2La2CoNi2
1.0
7.044 -1.983 0.000
7.044 1.983 0.000
-4.749 0.000 6.964
Ac La Co Ni
2 2 1 2
direct
0.045 0.045 0.278
0.955 0.955 0.722
0.287 0.287 0.214
0.713 0.713 0.786
0.500 0.500 0.500
0.394 0.394 0.948
0.606 0.606 0.052
```

* DFT formation energy: -3.1 kcal/mol of atoms